Below is a geometry-optimized ZnCoNi2N structure, with properties calculated at the PBE level.

Output
Its space-group type is P4/mmm, No. 123. As for the uncorrected energy: -5.699 eV/atom.

Unit cell a=3.784 b=3.784 c=3.695 alpha=90.00 beta=90.00 gamma=90.00
Sites, in units of the cell vectors:
1 Co 0.000 0.000 0.500
2 N 0.000 0.000 0.000
3 Ni 0.500 0.000 0.000
4 Ni 0.000 0.500 0.000
5 Zn 0.500 0.500 0.500